(1)
Entry from the Alexandria database: an optimized crystal structure of NiH2Rh2 (GGA-PBEsol).

Unit cell a=2.867 b=2.867 c=10.712 alpha=90.00 beta=90.00 gamma=90.00
Positions (direct):
Ni (0.000, 0.000, 0.000)
Ni (0.500, 0.500, 0.500)
H (0.000, 0.500, 0.250)
H (0.000, 0.500, 0.750)
H (0.500, 0.000, 0.250)
H (0.500, 0.000, 0.750)
Rh (0.000, 0.000, 0.357)
Rh (0.000, 0.000, 0.643)
Rh (0.500, 0.500, 0.143)
Rh (0.500, 0.500, 0.857)

Computed properties:
* final energy: -57.508 eV for the cell shown
* space group: I4/mmm, No. 139

***

(2)
Entry from the Alexandria database: an optimized crystal structure of NiH2Rh (GGA-PBEsol).

Unit cell a=3.954 b=3.954 c=7.853 alpha=90.00 beta=90.00 gamma=90.00
Positions (direct):
Ni (0.000, 0.000, 0.000)
Ni (0.000, 0.500, 0.250)
Ni (0.500, 0.000, 0.750)
Ni (0.500, 0.500, 0.500)
H (0.224, 0.250, 0.125)
H (0.250, 0.724, 0.375)
H (0.250, 0.776, 0.875)
H (0.276, 0.250, 0.625)
H (0.724, 0.750, 0.625)
H (0.750, 0.224, 0.875)
H (0.750, 0.276, 0.375)
H (0.776, 0.750, 0.125)
Rh (0.000, 0.000, 0.500)
Rh (0.000, 0.500, 0.750)
Rh (0.500, 0.000, 0.250)
Rh (0.500, 0.500, 0.000)

Computed properties:
* final energy: -83.487 eV for the cell shown
* space group: I-42d, No. 122

***

(3)
Entry from the Alexandria database: an optimized crystal structure of Ni3HRu (GGA-PBEsol).

Unit cell a=3.605 b=3.605 c=3.605 alpha=90.00 beta=90.00 gamma=90.00
Positions (direct):
Ni (0.000, 0.000, 0.500)
Ni (0.000, 0.500, 0.000)
Ni (0.500, 0.000, 0.000)
H (0.000, 0.000, 0.000)
Ru (0.500, 0.500, 0.500)

Computed properties:
* final energy: -31.187 eV for the cell shown
* space group: Pm-3m, No. 221

***

Q: Which formula does entry 3 have?
A: Ni3HRu

***

What did the second record say?
Entry from the Alexandria database: an optimized crystal structure of NiH2Rh (GGA-PBEsol).

Unit cell a=3.954 b=3.954 c=7.853 alpha=90.00 beta=90.00 gamma=90.00
Positions (direct):
Ni (0.000, 0.000, 0.000)
Ni (0.000, 0.500, 0.250)
Ni (0.500, 0.000, 0.750)
Ni (0.500, 0.500, 0.500)
H (0.224, 0.250, 0.125)
H (0.250, 0.724, 0.375)
H (0.250, 0.776, 0.875)
H (0.276, 0.250, 0.625)
H (0.724, 0.750, 0.625)
H (0.750, 0.224, 0.875)
H (0.750, 0.276, 0.375)
H (0.776, 0.750, 0.125)
Rh (0.000, 0.000, 0.500)
Rh (0.000, 0.500, 0.750)
Rh (0.500, 0.000, 0.250)
Rh (0.500, 0.500, 0.000)

Computed properties:
* final energy: -83.487 eV for the cell shown
* space group: I-42d, No. 122

***

Q: Which value of final energy does entry 3 give?
A: -31.187 eV for the cell shown

***

Copy entry 2 word for word.
Entry from the Alexandria database: an optimized crystal structure of NiH2Rh (GGA-PBEsol).

Unit cell a=3.954 b=3.954 c=7.853 alpha=90.00 beta=90.00 gamma=90.00
Positions (direct):
Ni (0.000, 0.000, 0.000)
Ni (0.000, 0.500, 0.250)
Ni (0.500, 0.000, 0.750)
Ni (0.500, 0.500, 0.500)
H (0.224, 0.250, 0.125)
H (0.250, 0.724, 0.375)
H (0.250, 0.776, 0.875)
H (0.276, 0.250, 0.625)
H (0.724, 0.750, 0.625)
H (0.750, 0.224, 0.875)
H (0.750, 0.276, 0.375)
H (0.776, 0.750, 0.125)
Rh (0.000, 0.000, 0.500)
Rh (0.000, 0.500, 0.750)
Rh (0.500, 0.000, 0.250)
Rh (0.500, 0.500, 0.000)

Computed properties:
* final energy: -83.487 eV for the cell shown
* space group: I-42d, No. 122